Record 1
Compound: Ba2Al12ZnPt3
Source: Alexandria via LeMat-Bulk
Functional: GGA-PBE
Structure: optimized geometry

Unit cell a=8.122 b=8.122 c=8.122 alpha=70.99 beta=70.99 gamma=70.99
Fractional positions:
Al  0.091  0.764  0.764
Al  0.876  0.340  0.876
Al  0.660  0.124  0.124
Pt  0.500  0.000  0.000
Ba  0.610  0.610  0.610
Pt  0.000  0.000  0.500
Al  0.909  0.236  0.236
Al  0.764  0.764  0.091
Al  0.124  0.660  0.124
Al  0.236  0.236  0.909
Al  0.764  0.091  0.764
Ba  0.390  0.390  0.390
Al  0.236  0.909  0.236
Pt  0.000  0.500  0.000
Zn  0.000  0.000  0.000
Al  0.124  0.124  0.660
Al  0.876  0.876  0.340
Al  0.340  0.876  0.876

Values from the calculation:
* Fermi-level density of states: 7.48 states/eV/cell
* DFT formation energy: -0.197 eV/atom
* space group: No. 166

Record 2
Compound: BaPuAl4
Source: Alexandria via LeMat-Bulk
Functional: GGA-PBE
Structure: optimized geometry

Unit cell a=5.774 b=5.774 c=5.774 alpha=60.00 beta=60.00 gamma=60.00
Fractional positions:
Al  0.121  0.626  0.626
Al  0.626  0.626  0.121
Pu  0.000  0.000  0.000
Ba  0.250  0.250  0.250
Al  0.626  0.121  0.626
Al  0.626  0.626  0.626

Values from the calculation:
* Fermi-level density of states: 14.44 states/eV/cell
* DFT formation energy: -0.167 eV/atom
* space group: No. 216

Record 3
Compound: BaPuAlS4
Source: Alexandria via LeMat-Bulk
Functional: GGA-PBE
Structure: optimized geometry

Unit cell a=6.607 b=6.663 c=8.520 alpha=90.00 beta=107.60 gamma=90.00
Fractional positions:
S  0.002  0.505  0.721
S  0.575  0.250  0.852
S  0.559  0.250  0.417
Pu  0.221  0.250  0.552
S  0.002  0.995  0.721
S  0.425  0.750  0.148
S  0.441  0.750  0.583
Ba  0.260  0.250  0.064
S  0.998  0.495  0.279
Ba  0.740  0.750  0.936
Al  0.233  0.750  0.324
Pu  0.779  0.750  0.448
Al  0.767  0.250  0.676
S  0.998  0.005  0.279

Values from the calculation:
* Fermi-level density of states: 24.52 states/eV/cell
* electronic total energy: -47.589 eV per formula unit
* space group: No. 11

Record 4
Compound: Ba2PuAlS5
Source: Alexandria via LeMat-Bulk
Functional: GGA-PBE
Structure: optimized geometry

Unit cell a=4.096 b=9.337 c=13.114 alpha=90.00 beta=90.00 gamma=102.67
Fractional positions:
S  0.960  0.920  0.516
S  0.502  0.004  0.278
S  0.703  0.407  0.167
Ba  0.118  0.235  0.685
S  0.297  0.593  0.667
S  0.679  0.358  0.881
Pu  0.800  0.599  0.529
Ba  0.871  0.743  0.831
Ba  0.129  0.257  0.331
S  0.040  0.080  0.016
S  0.347  0.695  0.011
Al  0.443  0.886  0.426
S  0.498  0.996  0.778
Pu  0.200  0.401  0.029
S  0.321  0.642  0.381
S  0.653  0.305  0.511
Ba  0.882  0.765  0.185
Al  0.557  0.114  0.926

Values from the calculation:
* Fermi-level density of states: 20.26 states/eV/cell
* electronic total energy: -57.971 eV per formula unit
* space group: No. 36

Record 5
Compound: Ba2PuAlS6
Source: Alexandria via LeMat-Bulk
Functional: GGA-PBE
Structure: optimized geometry

Unit cell a=6.984 b=6.984 c=12.498 alpha=73.78 beta=73.78 gamma=60.00
Fractional positions:
S  0.721  0.199  0.881
S  0.374  0.374  0.382
S  0.626  0.129  0.618
Ba  0.294  0.294  0.117
Pu  0.414  0.414  0.758
Ba  0.706  0.706  0.883
Ba  0.127  0.127  0.618
Al  0.000  0.000  0.000
Ba  0.873  0.873  0.382
Pu  0.586  0.586  0.242
S  0.801  0.279  0.119
S  0.871  0.374  0.382
S  0.199  0.721  0.881
Al  0.500  0.500  0.500
S  0.626  0.626  0.618
S  0.199  0.199  0.881
S  0.129  0.626  0.618
S  0.374  0.871  0.382
S  0.279  0.801  0.119
S  0.801  0.801  0.119

Values from the calculation:
* Fermi-level density of states: 17.42 states/eV/cell
* electronic total energy: -61.660 eV per formula unit
* space group: No. 166

Record 6
Compound: BaPuAlSe4
Source: Alexandria via LeMat-Bulk
Functional: GGA-PBE
Structure: optimized geometry

Unit cell a=6.893 b=6.967 c=8.837 alpha=90.00 beta=107.57 gamma=90.00
Fractional positions:
Se  0.991  0.009  0.276
Se  0.423  0.750  0.140
Se  0.441  0.750  0.589
Se  0.559  0.250  0.411
Ba  0.750  0.750  0.939
Se  0.577  0.250  0.860
Se  0.991  0.491  0.276
Se  0.009  0.991  0.724
Al  0.231  0.750  0.323
Al  0.769  0.250  0.677
Pu  0.228  0.250  0.555
Se  0.009  0.509  0.724
Ba  0.250  0.250  0.061
Pu  0.772  0.750  0.445

Values from the calculation:
* Fermi-level density of states: 24.87 states/eV/cell
* electronic total energy: -43.799 eV per formula unit
* space group: No. 11

Record 7
Compound: Ba2PuAlTe5
Source: Alexandria via LeMat-Bulk
Functional: GGA-PBE
Structure: optimized geometry

Unit cell a=4.543 b=10.517 c=14.289 alpha=90.00 beta=90.00 gamma=102.47
Fractional positions:
Te  0.352  0.704  0.009
Te  0.956  0.911  0.535
Ba  0.879  0.758  0.187
Ba  0.876  0.753  0.827
Te  0.703  0.405  0.171
Te  0.044  0.089  0.035
Te  0.297  0.595  0.671
Pu  0.798  0.595  0.525
Te  0.648  0.296  0.509
Ba  0.121  0.242  0.687
Te  0.313  0.625  0.370
Te  0.687  0.375  0.870
Al  0.437  0.874  0.430
Te  0.501  0.002  0.771
Ba  0.124  0.247  0.327
Te  0.499  0.998  0.271
Pu  0.202  0.405  0.025
Al  0.563  0.126  0.930

Values from the calculation:
* Fermi-level density of states: 28.12 states/eV/cell
* electronic total energy: -48.465 eV per formula unit
* space group: No. 36

Record 8
Compound: RbBa2Al2
Source: Alexandria via LeMat-Bulk
Functional: GGA-PBE
Structure: optimized geometry

Unit cell a=10.136 b=10.136 c=3.918 alpha=90.00 beta=90.00 gamma=90.00
Fractional positions:
Ba  0.646  0.146  0.000
Al  0.146  0.646  0.500
Al  0.646  0.854  0.500
Al  0.854  0.354  0.500
Al  0.354  0.146  0.500
Ba  0.146  0.354  0.000
Ba  0.354  0.854  0.000
Ba  0.854  0.646  0.000
Rb  0.500  0.500  0.000
Rb  0.000  0.000  0.000

Values from the calculation:
* Fermi-level density of states: 3.90 states/eV/cell
* DFT formation energy: 0.121 eV/atom
* space group: No. 127

Record 9
Compound: RbBa2Al2
Source: Alexandria via LeMat-Bulk
Functional: GGA-PBE
Structure: optimized geometry

Unit cell a=9.721 b=9.721 c=4.577 alpha=90.00 beta=90.00 gamma=90.00
Fractional positions:
Rb  0.500  0.500  0.000
Al  0.902  0.598  0.000
Ba  0.678  0.822  0.500
Al  0.098  0.402  0.000
Al  0.598  0.098  0.000
Ba  0.822  0.322  0.500
Rb  0.000  0.000  0.000
Ba  0.322  0.178  0.500
Al  0.402  0.902  0.000
Ba  0.178  0.678  0.500

Values from the calculation:
* Fermi-level density of states: 10.99 states/eV/cell
* DFT formation energy: 0.074 eV/atom
* space group: No. 127

Record 10
Compound: Rb3BaAl
Source: Alexandria via LeMat-Bulk
Functional: GGA-PBE
Structure: optimized geometry

Unit cell a=7.121 b=7.121 c=7.121 alpha=90.00 beta=90.00 gamma=90.00
Fractional positions:
Rb  0.000  0.000  0.500
Ba  0.500  0.500  0.500
Rb  0.500  0.000  0.000
Rb  0.000  0.500  0.000
Al  0.000  0.000  0.000

Values from the calculation:
* Fermi-level density of states: 5.67 states/eV/cell
* DFT formation energy: 0.426 eV/atom
* space group: No. 221

Record 11
Compound: RbBa2Al2
Source: Alexandria via LeMat-Bulk
Functional: GGA-PBE
Structure: optimized geometry

Unit cell a=6.492 b=6.492 c=7.038 alpha=62.54 beta=62.54 gamma=90.00
Fractional positions:
Ba  0.250  0.750  0.500
Ba  0.750  0.250  0.500
Al  0.381  0.381  0.237
Al  0.619  0.619  0.763
Rb  0.000  0.000  0.000

Values from the calculation:
* Fermi-level density of states: 4.06 states/eV/cell
* DFT formation energy: 0.117 eV/atom
* space group: No. 139

Record 12
Compound: RbBaAl2
Source: Alexandria via LeMat-Bulk
Functional: GGA-PBE
Structure: optimized geometry

Unit cell a=5.920 b=5.920 c=5.920 alpha=60.00 beta=60.00 gamma=60.00
Fractional positions:
Rb  0.000  0.000  0.000
Al  0.250  0.250  0.250
Ba  0.500  0.500  0.500
Al  0.750  0.750  0.750

Values from the calculation:
* Fermi-level density of states: 4.30 states/eV/cell
* DFT formation energy: 0.324 eV/atom
* space group: No. 225